La2BeP | the Alexandria database | SCAN | PBEsol geometry; total magnetic moment = 0.00 μB per formula unit; energy above the most stable polymorph in this dataset = 0.0 meV per atom; formation energy = -1.05 eV/f.u.; space-group type = Cmm2 (35); calculated volume = 23.8 Å³ per atom
1.0
1.935 -2.945 0.000
1.935 2.945 0.000
0.000 0.000 8.359
La Be P
2 1 1
Direct
0.000 0.000 0.000
0.500 0.500 0.381
0.000 0.000 0.641
0.500 0.500 0.746

RbSr3Sb | the Alexandria database | SCAN | PBEsol geometry; total magnetic moment = 1.74 μB per formula unit; space-group type = Pm-3m (221); calculated volume = 53.9 Å³ per atom; formation energy (no corrections) = -387.9 meV per atom
1.0
6.459 0.000 0.000
0.000 6.459 0.000
0.000 0.000 6.459
Rb Sr Sb
1 3 1
Direct
0.000 0.000 0.000
0.000 0.500 0.500
0.500 0.000 0.500
0.500 0.500 0.000
0.500 0.500 0.500

LiAl2 | the Alexandria database | SCAN | PBEsol geometry; total magnetic moment = 0.00 μB per formula unit; energy above the most stable polymorph in this dataset = 50.2 meV per atom; formation energy = -0.12 eV/f.u.; space-group type = C2/m (12); calculated volume = 16.2 Å³ per atom
1.0
5.263 -1.432 0.000
5.263 1.432 0.000
-1.769 0.000 6.451
Li Al
2 4
Direct
0.195 0.195 0.143
0.805 0.805 0.857
0.139 0.139 0.522
0.470 0.470 0.195
0.530 0.530 0.805
0.861 0.861 0.478

Sc2SbAs | the Alexandria database | SCAN | PBEsol geometry; total magnetic moment = 0.00 μB per formula unit; space-group type = I-4m2 (119); calculated volume = 20.4 Å³ per atom; formation energy (no corrections) = -876.6 meV per atom
1.0
-2.018 2.018 5.010
2.018 -2.018 5.010
2.018 2.018 -5.010
Sc Sb As
2 1 1
Direct
0.000 0.000 0.000
0.750 0.250 0.500
0.250 0.750 0.500
0.500 0.500 0.000

Please write out number 2 again, unchanged.
RbSr3Sb | the Alexandria database | SCAN | PBEsol geometry; total magnetic moment = 1.74 μB per formula unit; space-group type = Pm-3m (221); calculated volume = 53.9 Å³ per atom; formation energy (no corrections) = -387.9 meV per atom
1.0
6.459 0.000 0.000
0.000 6.459 0.000
0.000 0.000 6.459
Rb Sr Sb
1 3 1
Direct
0.000 0.000 0.000
0.000 0.500 0.500
0.500 0.000 0.500
0.500 0.500 0.000
0.500 0.500 0.500